Entry 1:
HoAl12Cu4 after structural relaxation, computed with PBE.

The value obtained for the energy is -3.81 eV per atom.

The structure belongs to space group Im-3 (No. 204); the cell edges are 8.569, 8.569 and 8.569 Å and the angles 90.00°, 90.00° and 90.00°. The asymmetric unit holds Ho at (0.000, 0.000, 0.000), Al at (0.000, 0.164, 0.341) and Cu at (0.250, 0.250, 0.250).



Entry 2:
Ho2AlCu9 after structural relaxation, computed with PBE.

The value obtained for the energy is -4.25 eV per atom.

The structure belongs to space group R-3m (No. 166, hexagonal axes); the cell edges are 5.0357, 5.0357 and 24.7778 Å and the angles 90.00°, 90.00° and 120.00°. The asymmetric unit holds Ho at (0.0000, 0.0000, 0.1355), Al at (0.0000, 0.0000, 0.0000), Cu at (0.0000, 0.0000, 0.3330), Cu at (0.0000, 0.0000, 0.5000) and Cu at (0.0021, 0.5011, 0.9183).



Entry 3:
HoAl3Cu3 after structural relaxation, computed with PBE.

The value obtained for the energy is -4.25 eV per atom.

The structure belongs to space group P2_1/m (No. 11); the cell edges are 6.869, 4.319 and 8.511 Å and the angles 90.00°, 110.00° and 90.00°. The asymmetric unit holds Ho at (0.208, 0.250, 0.276), Al at (0.145, 0.250, 0.893), Al at (0.233, 0.750, 0.736), Al at (0.464, 0.250, 0.714), Cu at (0.028, 0.250, 0.581), Cu at (0.200, 0.750, 0.036) and Cu at (0.383, 0.750, 0.519).



Entry 4:
Ho4Al3Cu after structural relaxation, computed with PBE.

The energy above the most stable polymorph in this dataset comes out at 22 meV/atom. The value obtained for the energy is -4.54 eV per atom.

The structure belongs to space group Pmm2 (No. 25); the cell edges are 3.670, 4.460 and 11.434 Å and the angles 90.00°, 90.00° and 90.00°. The asymmetric unit holds Ho at (0.000, 0.000, 0.000), Ho at (0.000, 0.500, 0.291), Ho at (0.500, 0.000, 0.480), Ho at (0.500, 0.500, 0.801), Al at (0.000, 0.000, 0.709), Al at (0.000, 0.500, 0.574), Al at (0.500, 0.500, 0.077) and Cu at (0.500, 0.000, 0.209).



Entry 5:
Ho4AlCu2 after structural relaxation, computed with PBE.

The energy above the most stable polymorph in this dataset comes out at 0 meV/atom. The value obtained for the energy is -4.49 eV per atom.

The structure belongs to space group R-3m (No. 166, hexagonal axes); the cell edges are 4.9150, 4.9150 and 23.5960 Å and the angles 90.00°, 90.00° and 120.00°. The asymmetric unit holds Ho at (0.0000, 0.0000, 0.1170), Ho at (0.0000, 0.0000, 0.3704), Al at (0.0000, 0.0000, 0.5000) and Cu at (0.0000, 0.0000, 0.2430).



Entry 6:
Ho3Al9Cu2 after structural relaxation, computed with PBE.

The value obtained for the energy is -4.39 eV per atom.

The structure belongs to space group Immm (No. 71); the cell edges are 4.244, 10.022 and 12.094 Å and the angles 90.00°, 90.00° and 90.00°. The asymmetric unit holds Ho at (0.000, 0.000, 0.000), Ho at (0.000, 0.000, 0.312), Al at (0.000, 0.280, 0.127), Al at (0.000, 0.370, 0.342), Al at (0.000, 0.500, 0.000) and Cu at (0.000, 0.208, 0.500).



Entry 7:
HoAl2Cu9 after structural relaxation, computed with PBE.

The energy above the most stable polymorph in this dataset comes out at 25 meV/atom. The value obtained for the energy is -4.24 eV per atom.

The structure belongs to space group R-3m (No. 166, hexagonal axes); the cell edges are 4.9347, 4.9347 and 23.8733 Å and the angles 90.00°, 90.00° and 120.00°. The asymmetric unit holds Ho at (0.0000, 0.0000, 0.0000), Al at (0.0000, 0.0000, 0.1447), Cu at (0.0000, 0.0000, 0.3339), Cu at (0.0000, 0.0000, 0.5000) and Cu at (0.0059, 0.5029, 0.9133).



Entry 8:
HoAlCu4 after structural relaxation, computed with PBE.

The value obtained for the energy is -4.38 eV per atom.

The structure belongs to space group P-6m2 (No. 187); the cell edges are 5.1707, 5.1707 and 4.0166 Å and the angles 90.00°, 90.00° and 120.00°. The asymmetric unit holds Ho at (0.0000, 0.0000, 0.0000), Al at (0.3333, 0.6667, 0.0000), Cu at (0.5009, 0.0017, 0.5000) and Cu at (0.6667, 0.3333, 0.0000).



Entry 9:
HoAl2Cu5 after structural relaxation, computed with PBE.

The value obtained for the energy is -4.26 eV per atom.

The structure belongs to space group Immm (No. 71); the cell edges are 3.595, 6.890 and 10.024 Å and the angles 90.00°, 90.00° and 90.00°. The asymmetric unit holds Ho at (0.000, 0.000, 0.000), Al at (0.000, 0.500, 0.249), Cu at (0.000, 0.191, 0.371) and Cu at (0.000, 0.500, 0.000).



Entry 10:
Ho3Al2Cu6 after structural relaxation, computed with PBE.

The value obtained for the energy is -4.50 eV per atom.

The structure belongs to space group Im-3m (No. 229); the cell edges are 9.120, 9.120 and 9.120 Å and the angles 90.00°, 90.00° and 90.00°. The asymmetric unit holds Ho at (0.000, 0.000, 0.279), Al at (0.250, 0.250, 0.250) and Cu at (0.000, 0.334, 0.334).



Entry 11:
Ho2Al2Cu15 after structural relaxation, computed with PBE.

The value obtained for the energy is -4.29 eV per atom.

The structure belongs to space group R-3m (No. 166, hexagonal axes); the cell edges are 8.5444, 8.5444 and 12.6967 Å and the angles 90.00°, 90.00° and 120.00°. The asymmetric unit holds Ho at (0.0000, 0.0000, 0.1497), Al at (0.0000, 0.0000, 0.3960), Cu at (0.0000, 0.2977, 0.5000), Cu at (0.0000, 0.5000, 0.0000) and Cu at (0.0007, 0.5004, 0.6516).



Entry 12:
Ho3Al2Cu4 after structural relaxation, computed with PBE.

The value obtained for the energy is -4.53 eV per atom.

The structure belongs to space group C2/m (No. 12); the cell edges are 10.611, 4.303 and 8.201 Å and the angles 90.00°, 114.15° and 90.00°. The asymmetric unit holds Ho at (0.000, 0.000, 0.000), Ho at (0.138, 0.500, 0.695), Al at (0.163, 0.500, 0.333), Cu at (0.082, 0.000, 0.416) and Cu at (0.227, 0.500, 0.068).



Entry 13:
Ho2Al5Cu3 after structural relaxation, computed with PBE.

The energy above the most stable polymorph in this dataset comes out at 119 meV/atom. The value obtained for the energy is -4.32 eV per atom.

The structure belongs to space group P-4m2 (No. 115); the cell edges are 4.170, 4.170 and 10.372 Å and the angles 90.00°, 90.00° and 90.00°. The asymmetric unit holds Ho at (0.000, 0.500, 0.235), Al at (0.000, 0.000, 0.500), Al at (0.000, 0.500, 0.658), Al at (0.500, 0.500, 0.000), Al at (0.500, 0.500, 0.500), Cu at (0.000, 0.000, 0.000) and Cu at (0.000, 0.500, 0.880).



Entry 14:
Ho8AlCu2 after structural relaxation, computed with PBE.

The value obtained for the energy is -4.46 eV per atom.

The structure belongs to space group C2/m (No. 12); the cell edges are 8.611, 13.495 and 5.274 Å and the angles 90.00°, 106.98° and 90.00°. The asymmetric unit holds Ho at (0.000, 0.236, 0.000), Ho at (0.112, 0.500, 0.808), Ho at (0.204, 0.123, 0.589), Al at (0.000, 0.000, 0.000) and Cu at (0.000, 0.308, 0.500).



Entry 15:
Ho2AlCu6 after structural relaxation, computed with PBE.

The value obtained for the energy is -4.41 eV per atom.

The structure belongs to space group P-3m1 (No. 164); the cell edges are 5.4982, 5.4982 and 5.5523 Å and the angles 90.00°, 90.00° and 120.00°. The asymmetric unit holds Ho at (0.3333, 0.6667, 0.1534), Al at (0.0000, 0.0000, 0.0000) and Cu at (0.1802, 0.3604, 0.6625).



Entry 16:
HoAl4Cu4 after structural relaxation, computed with PBE.

The value obtained for the energy is -4.27 eV per atom.

The structure belongs to space group P4_2/nmc (No. 137, origin choice 2); the cell edges are 5.849, 5.849 and 8.442 Å and the angles 90.00°, 90.00° and 90.00°. The asymmetric unit holds Ho at (0.250, 0.750, 0.250), Al at (0.019, 0.250, 0.151) and Cu at (0.040, 0.250, 0.446).



Entry 17:
Ho7Al2Cu2 after structural relaxation, computed with PBE.

The value obtained for the energy is -4.37 eV per atom.

The structure belongs to space group Cmmm (No. 65); the cell edges are 7.791, 10.943 and 6.894 Å and the angles 90.00°, 90.00° and 90.00°. The asymmetric unit holds Ho at (0.000, 0.000, 0.000), Ho at (0.000, 0.500, 0.251), Ho at (0.250, 0.250, 0.262), Al at (0.167, 0.000, 0.500) and Cu at (0.000, 0.296, 0.000).



Entry 18:
Ho4Al12Cu after structural relaxation, computed with PBE.

The value obtained for the energy is -4.38 eV per atom.

The structure belongs to space group Im-3m (No. 229); the cell edges are 8.612, 8.612 and 8.612 Å and the angles 90.00°, 90.00° and 90.00°. The asymmetric unit holds Ho at (0.250, 0.250, 0.250), Al at (0.000, 0.000, 0.291), Al at (0.000, 0.250, 0.500) and Cu at (0.000, 0.000, 0.000).



Entry 19:
Ho6AlCu after structural relaxation, computed with PBE.

The value obtained for the energy is -4.54 eV per atom.

The structure belongs to space group I4/mmm (No. 139); the cell edges are 4.984, 4.984 and 17.246 Å and the angles 90.00°, 90.00° and 90.00°. The asymmetric unit holds Ho at (0.000, 0.000, 0.248), Ho at (0.000, 0.500, 0.104), Al at (0.000, 0.000, 0.000) and Cu at (0.000, 0.000, 0.500).



Entry 20:
HoAl8Cu4 after structural relaxation, computed with PBE.

The value obtained for the energy is -4.22 eV per atom.

The structure belongs to space group I4/mmm (No. 139); the cell edges are 8.822, 8.822 and 5.115 Å and the angles 90.00°, 90.00° and 90.00°. The asymmetric unit holds Ho at (0.000, 0.000, 0.000), Al at (0.000, 0.218, 0.500), Al at (0.000, 0.348, 0.000) and Cu at (0.250, 0.250, 0.250).